Ni5Pb3S12: optimized geometry, PBE.

Unit cell a=12.7237 b=12.7237 c=12.7237 alpha=109.47 beta=109.47 gamma=109.47
Closest atoms and distances in Å follow each position.
Sites, in units of the cell vectors:
S1 0.6933 0.1170 0.0147  2 Ni 2.15-2.32
S2 0.3214 0.5147 0.3977  2 Ni 2.15-2.32
S3 0.6170 0.6023 0.9237  2 Ni 2.15-2.32
S4 0.8830 0.5763 0.8977  2 Ni 2.15-2.32
S5 0.3214 0.8067 0.4237  2 Ni 2.15-2.32
S6 0.0763 0.8977 0.3830  2 Ni 2.15-2.32
S7 0.8067 0.4853 0.3830  2 Ni 2.15-2.32
S8 0.8830 0.3067 0.4853  2 Ni 2.15-2.32
S9 0.1170 0.4237 0.1023  2 Ni 2.15-2.32
S10 0.4853 0.8067 0.8830  2 Ni 2.15-2.32
S11 0.6786 0.1933 0.5763  2 Ni 2.15-2.32
S12 0.8214 0.8977 0.0147  2 Ni 2.15-2.32
S13 0.1933 0.6786 0.0763  2 Ni 2.15-2.32
S14 0.3067 0.8830 0.9853  2 Ni 2.15-2.32
S15 0.4237 0.1170 0.6023  2 Ni 2.15-2.32
S16 0.8977 0.0763 0.8830  2 Ni 2.15-2.32
S17 0.9853 0.6023 0.1786  2 Ni 2.15-2.32
S18 0.1023 0.1786 0.4853  2 Ni 2.15-2.32
S19 0.0763 0.1786 0.1933  2 Ni 2.15-2.32
S20 0.1933 0.5147 0.6170  2 Ni 2.15-2.32
S21 0.5763 0.6933 0.6786  2 Ni 2.15-2.32
S22 0.6170 0.0147 0.1933  2 Ni 2.15-2.32
S23 0.3067 0.4237 0.8214  2 Ni 2.15-2.32
S24 0.8977 0.8214 0.5147  2 Ni 2.15-2.32
S25 0.5147 0.1933 0.1170  2 Ni 2.15-2.32
S26 0.5147 0.3214 0.8977  2 Ni 2.15-2.32
S27 0.1786 0.0763 0.6933  2 Ni 2.15-2.32
S28 0.3977 0.3830 0.5763  2 Ni 2.15-2.32
S29 0.1786 0.1023 0.9853  2 Ni 2.15-2.32
S30 0.0147 0.6170 0.6933  2 Ni 2.15-2.32
S31 0.3830 0.9853 0.8067  2 Ni 2.15-2.32
S32 0.6933 0.5763 0.1786  2 Ni 2.15-2.32
S33 0.3830 0.3977 0.0763  2 Ni 2.15-2.32
S34 0.1170 0.6933 0.5147  2 Ni 2.15-2.32
S35 0.8067 0.3214 0.9237  2 Ni 2.15-2.32
S36 0.3977 0.0147 0.3214  2 Ni 2.15-2.32
S37 0.9853 0.3830 0.3067  2 Ni 2.15-2.32
S38 0.9237 0.8214 0.8067  2 Ni 2.15-2.32
S39 0.5763 0.8830 0.3977  2 Ni 2.15-2.32
S40 0.6023 0.6170 0.4237  2 Ni 2.15-2.32
S41 0.8214 0.9237 0.3067  2 Ni 2.15-2.32
S42 0.6023 0.9853 0.6786  2 Ni 2.15-2.32
S43 0.0147 0.3977 0.8214  2 Ni 2.15-2.32
S44 0.4237 0.3067 0.3214  2 Ni 2.15-2.32
S45 0.4853 0.6786 0.1023  2 Ni 2.15-2.32
S46 0.9237 0.1023 0.6170  2 Ni 2.15-2.32
S47 0.6786 0.4853 0.6023  2 Ni 2.15-2.32
S48 0.1023 0.9237 0.1170  2 Ni 2.15-2.32
Ni1 0.1250 0.7500 0.3750  4 S 2.15
Ni2 0.5000 0.5000 0.0000  6 S 2.32
Ni3 0.5000 0.0000 0.0000  6 S 2.32
Ni4 0.8750 0.2500 0.6250  4 S 2.15
Ni5 0.2500 0.3750 0.6250  4 S 2.15
Ni6 0.5000 0.5000 0.5000  6 S 2.32
Ni7 0.2500 0.8750 0.1250  4 S 2.15
Ni8 0.0000 0.0000 0.5000  6 S 2.32
Ni9 0.0000 0.0000 0.0000  6 S 2.32
Ni10 0.1250 0.3750 0.2500  4 S 2.15
Ni11 0.6250 0.8750 0.2500  4 S 2.15
Ni12 0.8750 0.6250 0.7500  4 S 2.15
Ni13 0.6250 0.7500 0.8750  4 S 2.15
Ni14 0.3750 0.1250 0.7500  4 S 2.15
Ni15 0.7500 0.1250 0.8750  4 S 2.15
Ni16 0.0000 0.5000 0.0000  6 S 2.32
Ni17 0.5000 0.0000 0.5000  6 S 2.32
Ni18 0.0000 0.5000 0.5000  6 S 2.32
Ni19 0.3750 0.2500 0.1250  4 S 2.15
Ni20 0.7500 0.6250 0.3750  4 S 2.15
Pb1 0.7500 0.3750 0.1250  8 S 2.82-3.06
Pb2 0.3750 0.7500 0.6250  8 S 2.82-3.06
Pb3 0.6250 0.3750 0.7500  8 S 2.82-3.06
Pb4 0.8750 0.7500 0.1250  8 S 2.82-3.06
Pb5 0.2500 0.6250 0.8750  8 S 2.82-3.06
Pb6 0.2500 0.1250 0.3750  8 S 2.82-3.06
Pb7 0.1250 0.8750 0.7500  8 S 2.82-3.06
Pb8 0.7500 0.8750 0.6250  8 S 2.82-3.06
Pb9 0.3750 0.6250 0.2500  8 S 2.82-3.06
Pb10 0.8750 0.1250 0.2500  8 S 2.82-3.06
Pb11 0.1250 0.2500 0.8750  8 S 2.82-3.06
Pb12 0.6250 0.2500 0.3750  8 S 2.82-3.06

## Properties
Calculated volume = 19.82 Å³ per atom
Fermi-level density of states = 61.51 states/eV per cell
Energy relative to the elements, uncorrected = -0.17 eV/atom